# PBE TeMo2Cl, relaxed
# raw formation energy = 222 meV/atom
# offset from the most stable computed form = 0.314 eV/atom
# final energy = -6.441 eV per atom
# N(E_F) = 0.702 states/eV/atom
# spin magnetization = 0.0 μB/f.u.
data_TeMo2Cl
_space_group_name_H-M_alt 'I m m 2'
_space_group_IT_number 44
_space_group_name_Hall 'I 2 -2'
_cell_length_a 3.148
_cell_length_b 3.173
_cell_length_c 18.801
_cell_angle_alpha 90.00
_cell_angle_beta 90.00
_cell_angle_gamma 90.00
loop_
_atom_site_label
_atom_site_type_symbol
_atom_site_fract_x
_atom_site_fract_y
_atom_site_fract_z
Te1 Te 0.000 0.000 0.000
Mo1 Mo 0.000 0.000 0.404
Mo2 Mo 0.000 0.500 0.302
Cl1 Cl 0.000 0.500 0.719

---

# PBE PrC6N9, relaxed
# raw formation energy = 4 meV/atom
# final energy = -8.437 eV per atom
# N(E_F) = 0.000 states/eV/atom
# spin magnetization = 0.0 μB/f.u.
data_PrC6N9
_space_group_name_H-M_alt 'C m c m'
_space_group_IT_number 63
_space_group_name_Hall '-C 2c 2'
_cell_length_a 7.877
_cell_length_b 11.981
_cell_length_c 10.665
_cell_angle_alpha 90.00
_cell_angle_beta 90.00
_cell_angle_gamma 90.00
loop_
_atom_site_label
_atom_site_type_symbol
_atom_site_fract_x
_atom_site_fract_y
_atom_site_fract_z
Pr1 Pr 0.000 0.219 0.250
C1 C 0.143 0.084 0.750
C2 C 0.144 0.353 0.554
N1 N 0.000 0.029 0.750
N2 N 0.000 0.344 0.005
N3 N 0.220 0.142 0.100
N4 N 0.223 0.372 0.250

---

# PBE CrAg2Te, relaxed
# raw formation energy = 423 meV/atom
# final energy = -4.194 eV per atom
# N(E_F) = 0.438 states/eV/atom
# spin magnetization = 4.0 μB/f.u.
data_CrAg2Te
_space_group_name_H-M_alt 'I -4 2 d'
_space_group_IT_number 122
_space_group_name_Hall 'I -4 2bw'
_cell_length_a 8.004
_cell_length_b 8.004
_cell_length_c 5.480
_cell_angle_alpha 90.00
_cell_angle_beta 90.00
_cell_angle_gamma 90.00
loop_
_atom_site_label
_atom_site_type_symbol
_atom_site_fract_x
_atom_site_fract_y
_atom_site_fract_z
Cr1 Cr 0.000 0.000 0.000
Ag1 Ag 0.249 0.250 0.125
Te1 Te 0.000 0.000 0.500